A | The following is a GGA-PBE calculation of a relaxed ReAgRu2 crystal, from Alexandria.

abc: 4.4168 4.4168 4.4168
angles: 60.00 60.00 60.00
Closest atoms and distances in Å follow each position.
Fractional coordinates of all 4 atoms:
Ru 0.2500 0.2500 0.2500  4 Ru 2.70, 4 Ag 2.70
Ru 0.0000 0.0000 0.0000  4 Ru 2.70, 4 Re 2.70
Ag 0.5000 0.5000 0.5000  4 Re 2.70, 4 Ru 2.70
Re 0.7500 0.7500 0.7500  4 Ag 2.70, 4 Ru 2.70

space-group type: No. 216
total moment: 1.6 μB per formula unit



B | The following is a GGA-PBE calculation of a relaxed ReAgRu2 crystal, from Alexandria.

abc: 3.8279 2.7493 6.3776
angles: 64.54 90.00 90.00
Closest atoms and distances in Å follow each position.
Fractional coordinates of all 4 atoms:
Ru 0.0000 0.0239 0.9753  3 Ru 2.59-2.75, 4 Re 2.69, 4 Ag 2.84
Ru 0.0000 0.4761 0.5247  3 Ru 2.59-2.75, 4 Re 2.69, 4 Ag 2.84
Re 0.5000 0.7500 0.7500  8 Ru 2.69, 2 Re 2.75, 2 Ag 2.88
Ag 0.5000 0.2500 0.2500  2 Ag 2.75, 8 Ru 2.84, 2 Re 2.88

space-group type: No. 10
total moment: 0.0 μB per formula unit



C | The following is a GGA-PBE calculation of a relaxed ReAgRu2 crystal, from Alexandria.

abc: 2.6929 2.6929 9.5371
angles: 90.00 90.00 116.98
Closest atoms and distances in Å follow each position.
Fractional coordinates of all 4 atoms:
Ru 0.5000 0.5000 0.2359  8 Ru 2.66-2.81, 2 Ag 2.87
Ru 0.0000 0.0000 0.9992  2 Re 2.62, 8 Ru 2.66-2.81
Re 0.5000 0.5000 0.7670  2 Ru 2.62, 6 Re 2.69-2.81, 2 Ag 2.93
Ag 0.0000 0.0000 0.4980  6 Ag 2.69-2.81, 2 Ru 2.87, 2 Re 2.93

space-group type: No. 35
total moment: 0.5 μB per formula unit



Sorted by energy, starting with the most stable: B, C, A.



A | The following is a GGA-PBE calculation of a relaxed ReAgRu2 crystal, from Alexandria.

abc: 3.9585 2.7431 6.2175
angles: 63.88 90.00 90.00
Closest atoms and distances in Å follow each position.
Fractional coordinates of all 4 atoms:
Ag 0.0000 0.5043 0.4960  2 Ag 2.74, 6 Ru 2.76-2.83, 4 Re 2.89-2.90
Re 0.5000 0.7161 0.7834  5 Ru 2.50-2.67, 2 Re 2.74
Ru 0.0000 0.0102 0.9900  4 Re 2.67, 6 Ru 2.74-2.76, 2 Ag 2.76-2.83
Ru 0.5000 0.2694 0.2306  1 Re 2.50, 6 Ru 2.74-2.76

space-group type: No. 25
total moment: 0.0 μB per formula unit



B | The following is a GGA-PBE calculation of a relaxed ReAgRu2 crystal, from Alexandria.

abc: 2.7716 2.7716 7.9316
angles: 90.00 90.00 90.00
Closest atoms and distances in Å follow each position.
Fractional coordinates of all 4 atoms:
Ag 0.5000 0.5000 0.2500  4 Ag 2.77, 8 Ru 2.91
Re 0.5000 0.5000 0.7500  8 Ru 2.67, 4 Re 2.77
Ru 0.0000 0.0000 0.5213  4 Re 2.67, 4 Ru 2.77, 4 Ag 2.91
Ru 0.0000 0.0000 0.9787  4 Re 2.67, 4 Ru 2.77, 4 Ag 2.91

space-group type: No. 123
total moment: 0.0 μB per formula unit



C | The following is a GGA-PBE calculation of a relaxed ReAgRu2 crystal, from Alexandria.

abc: 4.4004 4.4004 4.4004
angles: 60.00 60.00 60.00
Closest atoms and distances in Å follow each position.
Fractional coordinates of all 4 atoms:
Ru 0.2500 0.2500 0.2500  4 Re 2.69, 4 Ag 2.69
Ru 0.7500 0.7500 0.7500  4 Re 2.69, 4 Ag 2.69
Re 0.5000 0.5000 0.5000  8 Ru 2.69
Ag 0.0000 0.0000 0.0000  8 Ru 2.69

space-group type: No. 225
total moment: 0.0 μB per formula unit



D | The following is a GGA-PBE calculation of a relaxed ReAgRu2 crystal, from Alexandria.

abc: 2.7128 2.7128 8.1839
angles: 90.00 90.00 90.00
Closest atoms and distances in Å follow each position.
Fractional coordinates of all 4 atoms:
Ag 0.0000 0.0000 0.4969  4 Ag 2.71, 4 Ru 2.90, 4 Re 2.92
Ru 0.0000 0.0000 0.0059  8 Ru 2.66-2.71, 4 Re 2.74
Ru 0.5000 0.5000 0.2307  8 Ru 2.66-2.71, 4 Ag 2.90
Re 0.5000 0.5000 0.7665  4 Re 2.71, 4 Ru 2.74, 4 Ag 2.92

space-group type: No. 99
total moment: 0.0 μB per formula unit



Sorted by energy, starting with the most stable: B, D, A, C.



A | The following is a GGA-PBE calculation of a relaxed ReAgRu2 crystal, from Alexandria.

abc: 4.7542 4.7542 2.7665
angles: 90.00 90.00 107.92
Closest atoms and distances in Å follow each position.
Fractional coordinates of all 4 atoms:
Ru 0.0000 0.0000 0.0000  4 Re 2.75, 4 Ag 2.75, 4 Ru 2.77-2.80
Ru 0.5000 0.5000 0.0000  4 Ag 2.75, 4 Re 2.75, 4 Ru 2.77-2.80
Re 0.0000 0.5000 0.5000  8 Ru 2.75, 2 Re 2.77, 2 Ag 2.80
Ag 0.5000 0.0000 0.5000  8 Ru 2.75, 2 Ag 2.77, 2 Re 2.80

space-group type: No. 65
total moment: 0.0 μB per formula unit



B | The following is a GGA-PBE calculation of a relaxed ReAgRu2 crystal, from Alexandria.

abc: 9.3670 9.3670 9.3670
angles: 16.90 16.90 16.90
Closest atoms and distances in Å follow each position.
Fractional coordinates of all 4 atoms:
Re 0.7433 0.7433 0.7433  3 Ru 2.65, 6 Re 2.75
Ag 0.5008 0.5008 0.5008  6 Ag 2.75, 3 Ru 2.92, 3 Re 2.97
Ru 0.9999 0.9999 0.9999  3 Re 2.65, 9 Ru 2.67-2.75
Ru 0.2559 0.2559 0.2559  9 Ru 2.67-2.75, 3 Ag 2.92

space-group type: No. 160
total moment: 0.0 μB per formula unit



Sorted by energy, starting with the most stable: B, A.



A | The following is a GGA-PBE calculation of a relaxed ReAgRu2 crystal, from Alexandria.

abc: 4.6847 4.6847 4.6847
angles: 129.60 129.60 74.05
Closest atoms and distances in Å follow each position.
Fractional coordinates of all 4 atoms:
Ru 0.0000 0.0000 0.0000  4 Ag 2.73, 4 Re 2.73, 4 Ru 2.82
Ru 0.5000 0.5000 0.0000  4 Re 2.73, 4 Ag 2.73, 4 Ru 2.82
Ag 0.2500 0.7500 0.5000  8 Ru 2.73, 4 Re 2.82
Re 0.7500 0.2500 0.5000  8 Ru 2.73, 4 Ag 2.82

space-group type: No. 139
total moment: 0.0 μB per formula unit



B | The following is a GGA-PBE calculation of a relaxed ReAgRu2 crystal, from Alexandria.

abc: 9.3362 9.3362 9.3362
angles: 17.01 17.01 17.01
Closest atoms and distances in Å follow each position.
Fractional coordinates of all 4 atoms:
Re 0.7500 0.7500 0.7500  6 Ru 2.66, 6 Re 2.76
Ru 0.4936 0.4936 0.4936  3 Re 2.66, 6 Ru 2.76, 3 Ag 2.94
Ru 0.0064 0.0064 0.0064  3 Re 2.66, 6 Ru 2.76, 3 Ag 2.94
Ag 0.2500 0.2500 0.2500  6 Ag 2.76, 6 Ru 2.94

space-group type: No. 166
total moment: 0.0 μB per formula unit



C | The following is a GGA-PBE calculation of a relaxed ReAgRu2 crystal, from Alexandria.

abc: 4.6315 4.6315 2.8319
angles: 90.00 90.00 90.00
Closest atoms and distances in Å follow each position.
Fractional coordinates of all 4 atoms:
Ru 0.0000 0.0000 0.0000  4 Re 2.71, 4 Ag 2.71, 2 Ru 2.83
Ru 0.5000 0.5000 0.0000  4 Re 2.71, 4 Ag 2.71, 2 Ru 2.83
Ag 0.5000 0.0000 0.5000  8 Ru 2.71, 2 Ag 2.83
Re 0.0000 0.5000 0.5000  8 Ru 2.71, 2 Re 2.83

space-group type: No. 123
total moment: 0.7 μB per formula unit



Sorted by energy, starting with the most stable: B, A, C.